This record from Alexandria describes an optimized crystal structure of Pm2Ga6CoPd. The functional is PBE.

Properties
Theoretical density = 7.1 g/cm3
N(E_F) = 7.03 states/eV/f.u.
Raw total energy = -43.61 eV per cell

Cell: 6.6093 6.6093 6.6093 Å, 60.00 60.00 90.00°
Sites, in units of the cell vectors:
Ga 0.2416 0.2416 0.5167
Pm 0.7500 0.2500 0.5000
Ga 0.7584 0.7584 0.0000
Ga 0.7584 0.2416 0.0000
Co 0.0000 0.0000 0.0000
Pd 0.5000 0.5000 0.0000
Ga 0.7584 0.7584 0.4833
Pm 0.2500 0.7500 0.5000
Ga 0.2416 0.7584 0.0000
Ga 0.2416 0.2416 0.0000